# 1
Computed, not measured: a geometry-optimized TaMnCr2 structure at the PBE level of DFT.

Output
* VASP energy: -38.70 eV/cell
* spin magnetization: 0.09 μB per formula unit
* relative energy among the computed polymorphs: 0.3913 eV/atom
* space-group type: R-3m
* N(E_F): 1.0399 states/eV/atom

Cell lengths 8.244, 8.244, 8.244 Å; angles 19.69, 19.69, 19.69 degrees
Atoms (fractional coordinates):
Ta 0.000 0.000 0.000
Mn 0.500 0.500 0.500
Cr 0.242 0.242 0.242
Cr 0.758 0.758 0.758



# 2
Computed, not measured: a geometry-optimized TaMnCr2 structure at the PBE level of DFT.

Output
* VASP energy: -39.80 eV/cell
* spin magnetization: 0.45 μB per formula unit
* relative energy among the computed polymorphs: 0.1166 eV/atom
* space-group type: C2/m
* N(E_F): 0.8886 states/eV/atom

Cell lengths 4.891, 4.891, 2.650 Å; angles 100.28, 100.28, 117.66 degrees
Atoms (fractional coordinates):
Ta 0.000 0.000 0.000
Mn 0.500 0.500 0.000
Cr 0.000 0.500 0.500
Cr 0.500 0.000 0.500



# 3
Computed, not measured: a geometry-optimized Ta4MnCr structure at the PBE level of DFT.

Output
* VASP energy: -62.27 eV/cell
* spin magnetization: 4.91 μB per formula unit
* space-group type: F-43m
* N(E_F): 1.6153 states/eV/atom

Cell lengths 5.385, 5.385, 5.385 Å; angles 60.00, 60.00, 60.00 degrees
Atoms (fractional coordinates):
Ta 0.125 0.125 0.125
Ta 0.125 0.125 0.626
Ta 0.125 0.626 0.125
Ta 0.626 0.125 0.125
Mn 0.500 0.500 0.500
Cr 0.750 0.750 0.750



# 4
Computed, not measured: a geometry-optimized Ta2Mn3Cr structure at the PBE level of DFT.

Output
* VASP energy: -62.00 eV/cell
* spin magnetization: 3.15 μB per formula unit
* space-group type: R-3m
* N(E_F): 1.1341 states/eV/atom

Cell lengths 4.809, 4.809, 4.809 Å; angles 61.28, 61.28, 61.28 degrees
Atoms (fractional coordinates):
Ta 0.126 0.126 0.126
Ta 0.874 0.874 0.874
Mn 0.000 0.500 0.500
Mn 0.500 0.000 0.500
Mn 0.500 0.500 0.000
Cr 0.500 0.500 0.500



# 5
Computed, not measured: a geometry-optimized TaMnCr2 structure at the PBE level of DFT.

Output
* VASP energy: -40.14 eV/cell
* spin magnetization: 0.00 μB per formula unit
* relative energy among the computed polymorphs: 0.0331 eV/atom
* space-group type: Immm
* N(E_F): 0.8127 states/eV/atom

Cell lengths 4.945, 4.945, 4.945 Å; angles 144.99, 130.18, 62.34 degrees
Atoms (fractional coordinates):
Ta 0.000 0.000 0.000
Mn 0.500 0.500 0.000
Cr 0.255 0.755 0.500
Cr 0.745 0.245 0.500



# 6
Computed, not measured: a geometry-optimized TaMnCr2 structure at the PBE level of DFT.

Output
* VASP energy: -40.00 eV/cell
* spin magnetization: 0.11 μB per formula unit
* relative energy among the computed polymorphs: 0.0674 eV/atom
* space-group type: P4/mmm
* N(E_F): 0.6468 states/eV/atom

Cell lengths 4.231, 4.231, 3.027 Å; angles 90.00, 90.00, 90.00 degrees
Atoms (fractional coordinates):
Ta 0.000 0.000 0.000
Mn 0.500 0.500 0.000
Cr 0.000 0.500 0.500
Cr 0.500 0.000 0.500



# 7
Computed, not measured: a geometry-optimized TaMn3Cr structure at the PBE level of DFT.

Output
* VASP energy: -44.42 eV/cell
* spin magnetization: 0.00 μB per formula unit
* space-group type: Pm-3m
* N(E_F): 1.0295 states/eV/atom

Cell lengths 4.127, 4.127, 4.127 Å; angles 90.00, 90.00, 90.00 degrees
Atoms (fractional coordinates):
Ta 0.000 0.000 0.000
Mn 0.000 0.500 0.500
Mn 0.500 0.000 0.500
Mn 0.500 0.500 0.000
Cr 0.500 0.500 0.500



# 8
Computed, not measured: a geometry-optimized TaMnCr2 structure at the PBE level of DFT.

Output
* VASP energy: -38.82 eV/cell
* spin magnetization: 1.24 μB per formula unit
* relative energy among the computed polymorphs: 0.3633 eV/atom
* space-group type: R3m
* N(E_F): 1.1944 states/eV/atom

Cell lengths 8.199, 8.199, 8.199 Å; angles 19.73, 19.73, 19.73 degrees
Atoms (fractional coordinates):
Ta 0.000 0.000 0.000
Mn 0.241 0.241 0.241
Cr 0.498 0.498 0.498
Cr 0.760 0.760 0.760



ΔE_f values, unit eV/f.u., following the record order: 1.565 0.466 3.935 -1.167 0.132 0.269 4.562 1.453.